No. 1
# NiSnB4 (PBE, relaxed)
# Energy above the most stable polymorph in this dataset, eV/atom: 0.140
data_NiSnB4
_chemical_formula_sum 'Ni2 Sn2 B8'
_space_group_name_H-M_alt 'I m m m'
_space_group_IT_number 71
_space_group_name_Hall '-I 2 2'
_cell_length_a 3.077
_cell_length_b 5.342
_cell_length_c 7.200
_cell_angle_alpha 90.00
_cell_angle_beta 90.00
_cell_angle_gamma 90.00
loop_
_atom_site_label
_atom_site_type_symbol
_atom_site_fract_x
_atom_site_fract_y
_atom_site_fract_z
Ni1 Ni 0.000 0.000 0.000
Sn1 Sn 0.000 0.000 0.500
B1 B 0.000 0.335 0.258


No. 2
# Gd3Se2NO (PBE, relaxed)
# Energy, eV per formula unit: -50.13
data_Gd3Se2NO
_chemical_formula_sum 'Gd12 Se8 N4 O4'
_space_group_name_H-M_alt 'C 1 2/m 1'
_space_group_IT_number 12
_cell_length_a 15.616
_cell_length_b 3.939
_cell_length_c 9.764
_cell_angle_alpha 90.00
_cell_angle_beta 97.24
_cell_angle_gamma 90.00
loop_
_space_group_symop_operation_xyz
'x,y,z'
'-x,-y,-z'
'-x,y,-z'
'x,-y,z'
'x+1/2,y+1/2,z'
'-x+1/2,-y+1/2,-z'
'-x+1/2,y+1/2,-z'
'x+1/2,-y+1/2,z'
loop_
_atom_site_label
_atom_site_type_symbol
_atom_site_fract_x
_atom_site_fract_y
_atom_site_fract_z
Gd1 Gd 0.044 0.000 0.262
Gd2 Gd 0.109 0.500 0.946
Gd3 Gd 0.198 0.000 0.674
Se1 Se 0.128 0.500 0.474
Se2 Se 0.212 0.000 0.150
N1 N 0.098 0.000 0.812
O1 O 0.035 0.500 0.140


No. 3
# BeTlCoCu (PBE, relaxed)
# Energy above the most stable polymorph in this dataset, eV/atom: 0.041
data_BeTlCoCu
_chemical_formula_sum 'Be4 Tl4 Co4 Cu4'
_space_group_name_H-M_alt 'F -4 3 m'
_space_group_IT_number 216
_space_group_name_Hall 'F -4 2 3'
_cell_length_a 5.987
_cell_length_b 5.987
_cell_length_c 5.987
_cell_angle_alpha 90.00
_cell_angle_beta 90.00
_cell_angle_gamma 90.00
loop_
_atom_site_label
_atom_site_type_symbol
_atom_site_fract_x
_atom_site_fract_y
_atom_site_fract_z
Be1 Be 0.000 0.000 0.000
Tl1 Tl 0.250 0.250 0.250
Co1 Co 0.250 0.250 0.750
Cu1 Cu 0.000 0.000 0.500